A relaxed SrPmGa2 crystal, computed with PBE.

## Properties
The calculation puts the energy of formation from the pure elements at -0.46 eV/atom. For the total magnetization, the calculation gives 0.00 μB per atom. The space group is P4/mmm (123). For the density of states at the Fermi level, the calculation gives 0.4857 states/eV/atom.

a = 3.7650 Å, b = 3.7650 Å, c = 7.6356 Å
α = 90.00°, β = 90.00°, γ = 90.00°
Element x y z (fractional)
1 Pm 0.5000 0.5000 0.0000
2 Sr 0.5000 0.5000 0.5000
3 Ga 0.0000 0.0000 0.7740
4 Ga 0.0000 0.0000 0.2260